Record 1
Density functional theory data (PBE) for an optimized crystal structure of Ta2SiCl.

Results
Uncorrected formation energy (meV/atom): 45
Space group: No. 123
V (Å³/atom): 17.6
Offset from the most stable computed form (kJ/mol of formula units): 53
E_tot (eV/atom): -7.698

Unit cell a=3.197 b=3.197 c=6.886 alpha=90.00 beta=90.00 gamma=90.00
Positions (direct):
Ta: 0.000 0.000 0.947
Cl: 0.500 0.500 0.250
Ta: 0.000 0.000 0.553
Si: 0.500 0.500 0.750

=====

Record 2
Density functional theory data (PBE) for an optimized crystal structure of Be2HOsRu.

Results
Space group: No. 123
V (Å³/atom): 9.6
E_tot (eV/atom): -6.136

Unit cell a=3.902 b=3.902 c=3.156 alpha=90.00 beta=90.00 gamma=90.00
Positions (direct):
Os: 0.500 0.500 0.500
Ru: 0.000 0.000 0.500
Be: 0.500 0.000 0.000
H: 0.000 0.000 0.000
Be: 0.000 0.500 0.000